No. 1
! PmTmCdPt | Alexandria via LeMat-Bulk | GGA-PBE | optimized geometry; values from VASP
! - spin magnetization (μB per atom) = 0.00
! - D(E_F) (states/eV per atom) = 0.81
! - volume (Å³ per cell) = 95.4
! - DFT formation energy (eV per atom) = -0.69
&SYSTEM
  ibrav = 0, nat = 4, ntyp = 4
/
ATOMIC_SPECIES
Tm 168.93 Tm.upf
Cd 112.41 Cd.upf
Pm 145.00 Pm.upf
Pt 195.08 Pt.upf
ATOMIC_POSITIONS angstrom
Tm 2.564 1.480 1.047
Cd 5.128 2.961 2.094
Pm 7.692 4.441 3.140
Pt 0.000 0.000 0.000
CELL_PARAMETERS angstrom
5.128 0.000 0.000
2.564 4.441 0.000
2.564 1.480 4.187

No. 2
! PmZn2CdPt2 | Alexandria via LeMat-Bulk | GGA-PBE | optimized geometry; values from VASP
! - spin magnetization (μB per atom) = 0.00
! - D(E_F) (states/eV per atom) = 0.30
! - volume (Å³ per cell) = 115.1
! - DFT formation energy (eV per atom) = -0.67
&SYSTEM
  ibrav = 0, nat = 6, ntyp = 4
/
ATOMIC_SPECIES
Pm 145.00 Pm.upf
Pt 195.08 Pt.upf
Zn 65.41 Zn.upf
Cd 112.41 Cd.upf
ATOMIC_POSITIONS angstrom
Pm 0.000 0.000 0.000
Pt -2.011 1.288 -2.081
Zn -4.823 0.891 -2.126
Cd -3.305 -0.468 -0.053
Zn -1.796 -1.262 -2.406
Pt -4.607 -1.660 -2.451
CELL_PARAMETERS angstrom
-0.549 4.077 -1.729
0.540 -3.513 -2.697
-6.609 -0.935 -0.106

No. 3
! PmZn2Cd2Pt | Alexandria via LeMat-Bulk | GGA-PBE | optimized geometry; values from VASP
! - spin magnetization (μB per atom) = 0.00
! - D(E_F) (states/eV per atom) = 0.42
! - volume (Å³ per cell) = 142.0
! - DFT formation energy (eV per atom) = 0.07
&SYSTEM
  ibrav = 0, nat = 6, ntyp = 4
/
ATOMIC_SPECIES
Zn 65.41 Zn.upf
Cd 112.41 Cd.upf
Pm 145.00 Pm.upf
Pt 195.08 Pt.upf
ATOMIC_POSITIONS angstrom
Zn 0.886 2.601 3.865
Cd 2.376 2.263 1.819
Pm 0.435 -0.457 3.524
Pt 0.000 0.000 0.000
Zn 0.352 2.388 0.267
Cd -1.139 2.726 2.313
CELL_PARAMETERS angstrom
-3.080 0.005 4.018
3.951 -0.920 3.030
0.367 5.904 -2.916

No. 4
! PmZnCd2Pt2 | Alexandria via LeMat-Bulk | GGA-PBE | optimized geometry; values from VASP
! - spin magnetization (μB per atom) = 0.00
! - D(E_F) (states/eV per atom) = 0.51
! - volume (Å³ per cell) = 150.8
! - DFT formation energy (eV per atom) = -0.22
&SYSTEM
  ibrav = 0, nat = 6, ntyp = 4
/
ATOMIC_SPECIES
Pt 195.08 Pt.upf
Pm 145.00 Pm.upf
Zn 65.41 Zn.upf
Cd 112.41 Cd.upf
ATOMIC_POSITIONS angstrom
Pt 2.686 2.686 2.789
Pm 2.686 2.686 0.000
Zn 0.000 0.000 0.000
Pt 0.000 0.000 2.439
Cd 2.686 0.000 2.614
Cd 0.000 2.686 2.614
CELL_PARAMETERS angstrom
5.371 0.000 0.000
0.000 5.371 0.000
-2.686 -2.686 5.228

No. 5
! Pm2Zn3CdPt4 | Alexandria via LeMat-Bulk | GGA-PBE | optimized geometry; values from VASP
! - spin magnetization (μB per atom) = 0.00
! - D(E_F) (states/eV per atom) = 0.43
! - volume (Å³ per cell) = 195.9
! - DFT formation energy (eV per atom) = -0.73
&SYSTEM
  ibrav = 0, nat = 10, ntyp = 4
/
ATOMIC_SPECIES
Pm 145.00 Pm.upf
Cd 112.41 Cd.upf
Zn 65.41 Zn.upf
Pt 195.08 Pt.upf
ATOMIC_POSITIONS angstrom
Pm 0.000 2.047 8.896
Cd 2.047 2.047 5.845
Zn 0.000 0.000 5.845
Pt 2.047 2.047 0.000
Zn 0.000 2.047 1.514
Zn 2.047 0.000 10.176
Pm 2.047 0.000 2.794
Pt 0.000 0.000 0.000
Pt 0.000 2.047 4.007
Pt 2.047 0.000 7.683
CELL_PARAMETERS angstrom
4.094 0.000 0.000
0.000 4.094 0.000
0.000 0.000 11.690

No. 6
! Pm2Zn2CdPt5 | Alexandria via LeMat-Bulk | GGA-PBE | optimized geometry; values from VASP
! - spin magnetization (μB per atom) = 0.00
! - D(E_F) (states/eV per atom) = 0.42
! - volume (Å³ per cell) = 370.4
! - DFT formation energy (eV per atom) = -0.76
&SYSTEM
  ibrav = 0, nat = 20, ntyp = 4
/
ATOMIC_SPECIES
Zn 65.41 Zn.upf
Pt 195.08 Pt.upf
Cd 112.41 Cd.upf
Pm 145.00 Pm.upf
ATOMIC_POSITIONS angstrom
Zn 7.395 1.734 7.289
Zn 4.507 3.138 2.803
Pt 3.202 2.643 5.015
Pt -0.217 -2.153 4.793
Pt 4.790 1.874 7.480
Cd 4.523 0.083 5.229
Pt 4.255 5.418 4.061
Pm 2.598 0.928 2.309
Pm 6.449 -0.762 8.148
Pm 6.342 3.172 4.923
Pt 2.170 -3.487 8.637
Pt -0.405 0.020 2.860
Pt 3.222 -0.712 7.682
Pm 2.705 -3.006 5.534
Zn 1.651 -1.568 3.168
Zn 4.539 -2.973 7.654
Pt 2.118 4.001 2.676
Pt 6.830 1.911 9.837
Pt 1.634 0.057 5.218
Cd 0.000 0.000 0.000
CELL_PARAMETERS angstrom
-2.622 1.765 2.241
2.189 -6.071 7.345
6.858 6.237 3.112

No. 7
! Pm4PuCd5 | Alexandria via LeMat-Bulk | GGA-PBE | optimized geometry; values from VASP
! - spin magnetization (μB per atom) = 0.75
! - D(E_F) (states/eV per atom) = 1.59
! - volume (Å³ per cell) = 278.9
! - DFT formation energy (eV per atom) = -0.24
&SYSTEM
  ibrav = 0, nat = 10, ntyp = 3
/
ATOMIC_SPECIES
Cd 112.41 Cd.upf
Pm 145.00 Pm.upf
Pu 244.00 Pu.upf
ATOMIC_POSITIONS angstrom
Cd 1.915 1.915 17.112
Cd 1.915 1.915 13.323
Pm 0.000 0.000 15.238
Cd 1.915 1.915 9.504
Pm 0.000 0.000 11.419
Cd 1.915 1.915 5.686
Pu 0.000 0.000 0.000
Pm 0.000 0.000 7.590
Pm 0.000 0.000 3.771
Cd 1.915 1.915 1.897
CELL_PARAMETERS angstrom
3.830 0.000 0.000
0.000 3.830 0.000
0.000 0.000 19.009

No. 8
! Pm2PuCd | Alexandria via LeMat-Bulk | GGA-PBE | optimized geometry; values from VASP
! - offset from the most stable computed form (meV per atom) = 0
! - spin magnetization (μB per atom) = 1.57
! - D(E_F) (states/eV per atom) = 2.41
! - volume (Å³ per cell) = 117.7
! - DFT formation energy (eV per atom) = -0.05
&SYSTEM
  ibrav = 0, nat = 4, ntyp = 3
/
ATOMIC_SPECIES
Pm 145.00 Pm.upf
Cd 112.41 Cd.upf
Pu 244.00 Pu.upf
ATOMIC_POSITIONS angstrom
Pm -6.214 -2.325 2.179
Cd -1.080 0.907 -2.111
Pm -1.915 -0.716 0.671
Pu -5.144 -0.613 -0.686
CELL_PARAMETERS angstrom
-1.499 3.122 -0.944
-0.660 -1.308 -3.278
-8.128 -3.041 2.850

- The highest DFT formation energy belongs to which entry?
  PmZn2Cd2Pt

- What is the formula in the fourth record?
  PmZnCd2Pt2

- Among the records above, which one has the lowest D(E_F)?
  PmZn2CdPt2

- volume of number 7 (Pm4PuCd5)?
  278.9 Å³ per cell